1 | ## Ni2SnCl (PBE-GGA)

Data for a geometry-optimized Ni2SnCl structure.

Cell and atoms, written as CIF:
```
data_Ni2SnCl
_cell_length_a 5.8522
_cell_length_b 5.8522
_cell_length_c 9.1750
_cell_angle_alpha 90.00
_cell_angle_beta 90.00
_cell_angle_gamma 90.00
_space_group_name_H-M_alt 'I -4 2 d'
_space_group_IT_number 122
_space_group_name_Hall 'I -4 2bw'
loop_
_atom_site_label
_atom_site_fract_x
_atom_site_fract_y
_atom_site_fract_z
Ni1 0.2070 0.2500 0.1250
Sn1 0.0000 0.0000 0.5000
Cl1 0.0000 0.0000 0.0000
```

Total magnetic moment in μB/f.u.: 0.00

***

2 | ## Ni2SnCl (PBE-GGA)

Data for a geometry-optimized Ni2SnCl structure.

Cell and atoms, written as CIF:
```
data_Ni2SnCl
_cell_length_a 6.3524
_cell_length_b 6.3524
_cell_length_c 6.3524
_cell_angle_alpha 90.00
_cell_angle_beta 90.00
_cell_angle_gamma 90.00
_space_group_name_H-M_alt 'F m -3 m'
_space_group_IT_number 225
_space_group_name_Hall '-F 4 2 3'
loop_
_atom_site_label
_atom_site_fract_x
_atom_site_fract_y
_atom_site_fract_z
Ni1 0.2500 0.2500 0.2500
Sn1 0.0000 0.0000 0.0000
Cl1 0.0000 0.0000 0.5000
```

Total magnetic moment in μB/f.u.: 0.00

***

Stability check: which of them is most stable? 1.

***

1 | ## NiSnCl2 (PBE-GGA)

Data for a geometry-optimized NiSnCl2 structure.

Cell and atoms, written as CIF:
```
data_NiSnCl2
_cell_length_a 6.8726
_cell_length_b 6.8726
_cell_length_c 6.8726
_cell_angle_alpha 90.00
_cell_angle_beta 90.00
_cell_angle_gamma 90.00
_space_group_name_H-M_alt 'F m -3 m'
_space_group_IT_number 225
_space_group_name_Hall '-F 4 2 3'
loop_
_atom_site_label
_atom_site_fract_x
_atom_site_fract_y
_atom_site_fract_z
Ni1 0.0000 0.0000 0.0000
Sn1 0.0000 0.0000 0.5000
Cl1 0.2500 0.2500 0.2500
```

Total magnetic moment in μB/f.u.: 0.00

***

2 | ## NiSnCl2 (PBE-GGA)

Data for a geometry-optimized NiSnCl2 structure.

Cell and atoms, written as CIF:
```
data_NiSnCl2
_cell_length_a 6.4027
_cell_length_b 6.4027
_cell_length_c 9.6507
_cell_angle_alpha 90.00
_cell_angle_beta 90.00
_cell_angle_gamma 90.00
_space_group_name_H-M_alt 'I -4 2 d'
_space_group_IT_number 122
_space_group_name_Hall 'I -4 2bw'
loop_
_atom_site_label
_atom_site_fract_x
_atom_site_fract_y
_atom_site_fract_z
Ni1 0.0000 0.0000 0.0000
Sn1 0.0000 0.0000 0.5000
Cl1 0.1613 0.2500 0.1250
```

Total magnetic moment in μB/f.u.: 0.06

***

Stability check: which of them is most stable? 2.

***

1 | ## Sr2NiCl (PBE-GGA)

Data for a geometry-optimized Sr2NiCl structure.

Cell and atoms, written as CIF:
```
data_Sr2NiCl
_cell_length_a 4.1019
_cell_length_b 4.1019
_cell_length_c 24.3862
_cell_angle_alpha 90.00
_cell_angle_beta 90.00
_cell_angle_gamma 120.00
_space_group_name_H-M_alt 'R 3 m'
_space_group_IT_number 160
_space_group_name_Hall 'R 3 -2"'
loop_
_atom_site_label
_atom_site_fract_x
_atom_site_fract_y
_atom_site_fract_z
Sr1 0.0000 0.0000 0.0000
Sr2 0.0000 0.0000 0.1521
Ni1 0.0000 0.0000 0.4093
Cl1 0.0000 0.0000 0.5781
```

Total magnetic moment in μB/f.u.: 0.00

***

2 | ## Sr2NiCl (PBE-GGA)

Data for a geometry-optimized Sr2NiCl structure.

Cell and atoms, written as CIF:
```
data_Sr2NiCl
_cell_length_a 7.5753
_cell_length_b 7.5753
_cell_length_c 7.5753
_cell_angle_alpha 90.00
_cell_angle_beta 90.00
_cell_angle_gamma 90.00
_space_group_name_H-M_alt 'F -4 3 m'
_space_group_IT_number 216
_space_group_name_Hall 'F -4 2 3'
loop_
_atom_site_label
_atom_site_fract_x
_atom_site_fract_y
_atom_site_fract_z
Sr1 0.0000 0.0000 0.0000
Sr2 0.2500 0.2500 0.2500
Ni1 0.2500 0.2500 0.7500
Cl1 0.0000 0.0000 0.5000
```

Total magnetic moment in μB/f.u.: 0.00

***

3 | ## Sr2NiCl (PBE-GGA)

Data for a geometry-optimized Sr2NiCl structure.

Cell and atoms, written as CIF:
```
data_Sr2NiCl
_cell_length_a 3.8488
_cell_length_b 3.8769
_cell_length_c 15.9039
_cell_angle_alpha 90.00
_cell_angle_beta 90.00
_cell_angle_gamma 90.00
_space_group_name_H-M_alt 'I m m 2'
_space_group_IT_number 44
_space_group_name_Hall 'I 2 -2'
loop_
_atom_site_label
_atom_site_fract_x
_atom_site_fract_y
_atom_site_fract_z
Sr1 0.0000 0.0000 0.0000
Sr2 0.0000 0.5000 0.2778
Ni1 0.0000 0.0000 0.4149
Cl1 0.0000 0.5000 0.6708
```

Total magnetic moment in μB/f.u.: 0.00

***

Stability check: which of them is most stable? 1.

***

1 | ## Sr2NiCl (PBE-GGA)

Data for a geometry-optimized Sr2NiCl structure.

Cell and atoms, written as CIF:
```
data_Sr2NiCl
_cell_length_a 4.1632
_cell_length_b 4.1632
_cell_length_c 23.6246
_cell_angle_alpha 90.00
_cell_angle_beta 90.00
_cell_angle_gamma 120.00
_space_group_name_H-M_alt 'R 3 m'
_space_group_IT_number 160
_space_group_name_Hall 'R 3 -2"'
loop_
_atom_site_label
_atom_site_fract_x
_atom_site_fract_y
_atom_site_fract_z
Sr1 0.0000 0.0000 0.0000
Sr2 0.0000 0.0000 0.1888
Ni1 0.0000 0.0000 0.5944
Cl1 0.0000 0.0000 0.7628
```

Total magnetic moment in μB/f.u.: 0.00

***

2 | ## Sr2NiCl (PBE-GGA)

Data for a geometry-optimized Sr2NiCl structure.

Cell and atoms, written as CIF:
```
data_Sr2NiCl
_cell_length_a 3.8313
_cell_length_b 3.7131
_cell_length_c 8.3129
_cell_angle_alpha 90.00
_cell_angle_beta 90.06
_cell_angle_gamma 90.00
_space_group_name_H-M_alt 'P 1 2/m 1'
_space_group_IT_number 10
_space_group_name_Hall '-P 2y'
loop_
_atom_site_label
_atom_site_fract_x
_atom_site_fract_y
_atom_site_fract_z
Sr1 0.0053 0.0000 0.2131
Ni1 0.5000 0.5000 0.0000
Cl1 0.0000 0.5000 0.5000
```

Total magnetic moment in μB/f.u.: 0.00

***

Stability check: which of them is most stable? 1.